[1]
Compound: Re2TcMo
Source: the Alexandria database
Functional: PBEsol
Structure: optimized geometry

```
Re2TcMo
1.0
3.083 0.000 0.000
0.000 3.083 0.000
0.000 0.000 6.209
Re Tc Mo
2 1 1
direct
0.000 0.000 0.000 Re
0.500 0.500 0.240 Re
0.000 0.000 0.515 Tc
0.500 0.500 0.731 Mo
```

- spin magnetization (μB per formula unit) = 0.0
- offset from the most stable computed form (meV/atom) = 65.0
- energy of formation (eV/atom) = 0.1932

***

[2]
Compound: Re2TcMo
Source: the Alexandria database
Functional: PBEsol
Structure: optimized geometry

```
Re2TcMo
1.0
1.370 0.791 9.026
-1.370 0.791 9.026
0.000 -1.582 9.026
Re Tc Mo
2 1 1
direct
0.248 0.248 0.248 Re
0.752 0.752 0.752 Re
0.500 0.500 0.500 Tc
0.000 0.000 0.000 Mo
```

- spin magnetization (μB per formula unit) = 0.0
- offset from the most stable computed form (meV/atom) = 5.4
- energy of formation (eV/atom) = 0.1335

***

[3]
Compound: Re2TcMo
Source: the Alexandria database
Functional: PBEsol
Structure: optimized geometry

```
Re2TcMo
1.0
2.665 -4.369 0.000
2.665 4.369 0.000
-0.889 0.000 2.525
Re Tc Mo
2 1 1
direct
0.000 0.500 0.000 Re
0.500 0.000 0.000 Re
0.000 0.000 0.500 Tc
0.500 0.500 0.500 Mo
```

- spin magnetization (μB per formula unit) = 0.0
- offset from the most stable computed form (meV/atom) = 60.3
- energy of formation (eV/atom) = 0.1885

***

[4]
Compound: ReTeMo
Source: the Alexandria database
Functional: PBEsol
Structure: optimized geometry

```
ReTeMo
1.0
4.438 0.000 0.000
-2.219 3.843 0.000
0.000 0.000 2.965
Re Te Mo
1 1 1
direct
0.000 0.000 0.000 Re
0.667 0.333 0.000 Te
0.333 0.667 0.500 Mo
```

- spin magnetization (μB per formula unit) = 0.0
- raw formation energy (eV per atom) = 0.575

***

[5]
Compound: TiRe2Mo
Source: the Alexandria database
Functional: PBEsol
Structure: optimized geometry

```
TiRe2Mo
1.0
0.000 3.091 3.091
3.091 0.000 3.091
3.091 3.091 0.000
Ti Re Mo
1 2 1
direct
0.000 0.000 0.000 Ti
0.250 0.250 0.250 Re
0.750 0.750 0.750 Re
0.500 0.500 0.500 Mo
```

- spin magnetization (μB per formula unit) = 0.0
- energy of formation (eV/atom) = -0.2937

***

[6]
Compound: TiReMo2
Source: the Alexandria database
Functional: PBEsol
Structure: optimized geometry

```
TiReMo2
1.0
0.000 3.105 3.105
3.105 0.000 3.105
3.105 3.105 0.000
Ti Re Mo
1 1 2
direct
0.000 0.000 0.000 Ti
0.500 0.500 0.500 Re
0.250 0.250 0.250 Mo
0.750 0.750 0.750 Mo
```

- spin magnetization (μB per formula unit) = 0.0
- energy of formation (eV/atom) = -0.2178

***

no.,Fermi-level density of states (states/eV/f.u.)
1,3.313
2,3.365
3,4.064
4,2.495
5,1.509
6,1.983